# 1
16
Lattice="7.0761 0.0000 0.0000 0.0000 7.0761 0.0000 0.0000 0.0000 7.0761" Properties=species:S:1:pos:R:3 comment="LiEuZnCd, optimized geometry, DFT PBE-GGA" delta_e_f_ev_per_atom=-0.194 final_energy_ev_per_atom=-3.7887 vol_a3_per_atom=22.1 m_tot_mub_per_fu=7.4 rho_g_cm3=6.3 pbc="T T T"
Li 0.0000 0.0000 0.0000
Li 0.0000 3.5380 3.5380
Li 3.5380 0.0000 3.5380
Li 3.5380 3.5380 0.0000
Eu 1.7690 1.7690 1.7690
Eu 1.7690 5.3070 5.3070
Eu 5.3070 1.7690 5.3070
Eu 5.3070 5.3070 1.7690
Zn 0.0000 0.0000 3.5380
Zn 0.0000 3.5380 0.0000
Zn 3.5380 0.0000 0.0000
Zn 3.5380 3.5380 3.5380
Cd 1.7690 1.7690 5.3070
Cd 1.7690 5.3070 1.7690
Cd 5.3070 1.7690 1.7690
Cd 5.3070 5.3070 5.3070

---

# 2
14
Lattice="-2.1562 5.0743 6.2311 2.1562 -5.0743 6.2311 2.1562 5.0743 -6.2311" Properties=species:S:1:pos:R:3 comment="Dy3Al9Ag2, optimized geometry, DFT PBE-GGA" delta_e_f_ev_per_atom=-0.383 final_energy_ev_per_atom=-4.1823 vol_a3_per_atom=19.5 m_tot_mub_per_fu=0.0 rho_g_cm3=5.8 pbc="T T T"
Dy 0.0000 0.0000 0.0000
Dy 0.0000 0.0000 3.8490
Dy 0.0000 0.0000 8.6132
Al 2.1562 -1.2905 1.9976
Al 2.1562 -2.2432 4.5413
Al 2.1562 1.2905 1.9976
Al 0.0000 2.8311 1.6898
Al 0.0000 5.0743 0.0000
Al 2.1562 2.2432 4.5413
Al 0.0000 3.7838 4.2335
Al 0.0000 7.3174 1.6898
Al 0.0000 6.3647 4.2335
Ag 2.1562 2.9608 0.0000
Ag 0.0000 2.1134 6.2311

---

# 3
16
Lattice="7.0176 0.0000 0.0000 0.0000 7.0176 0.0000 0.0000 0.0000 7.0176" Properties=species:S:1:pos:R:3 comment="EuDyZnOs, optimized geometry, DFT PBE-GGA" delta_e_f_ev_per_atom=-0.051 final_energy_ev_per_atom=-6.8961 vol_a3_per_atom=21.6 m_tot_mub_per_fu=6.9 rho_g_cm3=11.0 pbc="T T T"
Eu 0.0000 0.0000 0.0000
Eu 0.0000 3.5088 3.5088
Eu 3.5088 0.0000 3.5088
Eu 3.5088 3.5088 0.0000
Dy 0.0000 0.0000 3.5088
Dy 0.0000 3.5088 0.0000
Dy 3.5088 0.0000 0.0000
Dy 3.5088 3.5088 3.5088
Zn 1.7544 1.7544 1.7544
Zn 1.7544 5.2632 5.2632
Zn 5.2632 1.7544 5.2632
Zn 5.2632 5.2632 1.7544
Os 1.7544 1.7544 5.2632
Os 1.7544 5.2632 1.7544
Os 5.2632 1.7544 1.7544
Os 5.2632 5.2632 5.2632

---

# 4
5
Lattice="7.1691 0.0000 0.0000 0.0000 7.1691 0.0000 0.0000 0.0000 4.3846" Properties=species:S:1:pos:R:3 comment="Cs2ZnReP, optimized geometry, DFT PBE-GGA" delta_e_f_ev_per_atom=1.172 final_energy_ev_per_atom=-2.9959 vol_a3_per_atom=45.1 m_tot_mub_per_fu=4.2 rho_g_cm3=4.0 pbc="T T T"
Cs 0.0000 3.5846 0.0000
Cs 3.5846 0.0000 0.0000
Zn 0.0000 0.0000 2.1923
Re 3.5846 3.5846 2.1923
P 0.0000 0.0000 0.0000